VASP calculation (GGA-PBE) on a geometry-optimized LiGaBAu structure.

Unit cell a=5.927 b=5.927 c=5.927 alpha=90.00 beta=90.00 gamma=90.00
Atoms (fractional coordinates):
Li1 0.000 0.000 0.000
Li2 0.000 0.500 0.500
Li3 0.500 0.000 0.500
Li4 0.500 0.500 0.000
Ga1 0.250 0.250 0.250
Ga2 0.250 0.750 0.750
Ga3 0.750 0.250 0.750
Ga4 0.750 0.750 0.250
B1 0.000 0.000 0.500
B2 0.000 0.500 0.000
B3 0.500 0.000 0.000
B4 0.500 0.500 0.500
Au1 0.250 0.250 0.750
Au2 0.250 0.750 0.250
Au3 0.750 0.250 0.250
Au4 0.750 0.750 0.750

Output
SG = F-43m
Relative energy among the computed polymorphs = 0.000 eV/atom


VASP calculation (GGA-PBE) on a geometry-optimized Nb4GaB2Au structure.

Unit cell a=3.217 b=3.217 c=13.878 alpha=90.00 beta=90.00 gamma=120.00
Atoms (fractional coordinates):
Nb1 0.000 0.000 0.155
Nb2 0.000 0.000 0.845
Nb3 0.333 0.667 0.337
Nb4 0.333 0.667 0.663
Ga1 0.333 0.667 0.000
B1 0.667 0.333 0.247
B2 0.667 0.333 0.753
Au1 0.000 0.000 0.500

Output
E_tot = -7.90 eV per atom
SG = P-6m2
Magnetization = 0.0 Bohr magnetons per cell


VASP calculation (GGA-PBE) on a geometry-optimized RbGaBAu structure.

Unit cell a=6.905 b=6.905 c=6.905 alpha=90.00 beta=90.00 gamma=90.00
Atoms (fractional coordinates):
Rb1 0.000 0.000 0.000
Rb2 0.000 0.500 0.500
Rb3 0.500 0.000 0.500
Rb4 0.500 0.500 0.000
Ga1 0.250 0.250 0.250
Ga2 0.250 0.750 0.750
Ga3 0.750 0.250 0.750
Ga4 0.750 0.750 0.250
B1 0.250 0.250 0.750
B2 0.250 0.750 0.250
B3 0.750 0.250 0.250
B4 0.750 0.750 0.750
Au1 0.000 0.000 0.500
Au2 0.000 0.500 0.000
Au3 0.500 0.000 0.000
Au4 0.500 0.500 0.500

Output
SG = F-43m
Relative energy among the computed polymorphs = 0.000 eV/atom


VASP calculation (GGA-PBE) on a geometry-optimized RbGaBAu structure.

Unit cell a=7.118 b=7.118 c=7.118 alpha=90.00 beta=90.00 gamma=90.00
Atoms (fractional coordinates):
Rb1 0.000 0.000 0.000
Rb2 0.000 0.500 0.500
Rb3 0.500 0.000 0.500
Rb4 0.500 0.500 0.000
Ga1 0.250 0.250 0.250
Ga2 0.250 0.750 0.750
Ga3 0.750 0.250 0.750
Ga4 0.750 0.750 0.250
B1 0.000 0.000 0.500
B2 0.000 0.500 0.000
B3 0.500 0.000 0.000
B4 0.500 0.500 0.500
Au1 0.250 0.250 0.750
Au2 0.250 0.750 0.250
Au3 0.750 0.250 0.250
Au4 0.750 0.750 0.750

Output
SG = F-43m
Relative energy among the computed polymorphs = 0.131 eV/atom


VASP calculation (GGA-PBE) on a geometry-optimized GdB4Au structure.

Unit cell a=3.249 b=3.249 c=7.301 alpha=90.00 beta=90.00 gamma=120.00
Atoms (fractional coordinates):
Gd1 0.000 0.000 0.000
B1 0.333 0.667 0.258
B2 0.333 0.667 0.742
B3 0.667 0.333 0.258
B4 0.667 0.333 0.742
Au1 0.000 0.000 0.500

Output
SG = P6/mmm
Relative energy among the computed polymorphs = 0.137 eV/atom
Magnetization = 0.0 Bohr magnetons per cell


VASP calculation (GGA-PBE) on a geometry-optimized GdB4Au structure.

Unit cell a=3.204 b=5.268 c=8.252 alpha=90.00 beta=90.00 gamma=90.00
Atoms (fractional coordinates):
Gd1 0.000 0.000 0.000
Gd2 0.500 0.500 0.500
B1 0.000 0.314 0.268
B2 0.000 0.314 0.732
B3 0.000 0.686 0.268
B4 0.000 0.686 0.732
B5 0.500 0.186 0.232
B6 0.500 0.186 0.768
B7 0.500 0.814 0.232
B8 0.500 0.814 0.768
Au1 0.000 0.000 0.500
Au2 0.500 0.500 0.000

Output
SG = Immm
Relative energy among the computed polymorphs = 0.000 eV/atom
Magnetization = 0.0 Bohr magnetons per cell


| no. | calculated volume (Å³ per cell) |
| --- | --- |
| 1 | 208 |
| 2 | 124 |
| 3 | 329 |
| 4 | 361 |
| 5 | 67 |
| 6 | 139 |